Computed, not measured: a relaxed BeCuGe2 crystal at the PBE level of DFT.

```
data_BeCuGe2
_symmetry_space_group_name_H-M 'I -4 2 d'
_symmetry_Int_Tables_number 122
_symmetry_space_group_name_Hall 'I -4 2bw'
_cell_length_a 4.006
_cell_length_b 4.006
_cell_length_c 15.343
_cell_angle_alpha 90.00
_cell_angle_beta 90.00
_cell_angle_gamma 90.00
loop_
_atom_site_label
_atom_site_type_symbol
_atom_site_fract_x
_atom_site_fract_y
_atom_site_fract_z
Be1 Be 0.000 0.000 0.000
Cu1 Cu 0.000 0.000 0.500
Ge1 Ge 0.234 0.250 0.125
```

Properties
energy relative to the elements: 0.247 eV per atom
total DFT energy (no corrections): -0.148 hartree per atom
calculated volume: 246.2 Å³/cell
total magnetization: 0.00 μB per formula unit
DOS(E_F): 1.24 states/eV/f.u.